VASP calculation (PBE) on a relaxed structure of SmAgRh.

Values from the calculation:
Formation energy: -0.31 eV/atom
VASP energy: -15.87 eV for the cell shown
Calculated density: 9.3 g cm⁻³
Symmetry: No. 156
Spin magnetization: 0.000 μB per atom

extended XYZ file:
```
3
Lattice="3.478 0.000 0.000 0.000 4.622 0.000 0.000 -2.311 4.003" Properties=species:S:1:pos:R:3 pbc="T T T"
Rh 0.584 0.000 2.669
Ag 0.577 0.000 0.000
Sm 2.318 2.311 1.334
```


VASP calculation (PBE) on a relaxed structure of Nd2AsO.

Values from the calculation:
Raw formation energy: -7.94 eV per formula unit
VASP energy: -27.08 eV for the cell shown
Calculated density: 7.3 g cm⁻³
Symmetry: No. 166
Spin magnetization: 0.000 μB per atom

extended XYZ file:
```
4
Lattice="3.945 0.000 0.000 1.973 3.417 0.000 1.973 1.139 6.389" Properties=species:S:1:pos:R:3 pbc="T T T"
As 3.945 2.278 3.194
Nd 5.918 3.417 5.003
Nd 1.973 1.139 1.386
O 0.000 0.000 0.000
```


VASP calculation (PBE) on a relaxed structure of LaErTh2.

Values from the calculation:
Formation energy: 0.21 eV/atom
VASP energy: -23.50 eV for the cell shown
Calculated density: 9.7 g cm⁻³
Symmetry: No. 225
Spin magnetization: 0.000 μB per atom

extended XYZ file:
```
4
Lattice="-5.196 1.040 -2.131 -4.434 -3.235 1.580 -4.077 2.183 3.352" Properties=species:S:1:pos:R:3 pbc="T T T"
La -6.854 -0.006 1.401
Th -3.427 -0.003 0.700
Th -10.281 -0.009 2.101
Er 0.000 0.000 0.000
```


VASP calculation (PBE) on a relaxed structure of ScTiCr2.

Values from the calculation:
Formation energy: 0.74 eV/atom
VASP energy: -61.02 eV for the cell shown
Calculated density: 5.2 g cm⁻³
Symmetry: No. 122
Spin magnetization: 0.001 μB per atom

extended XYZ file:
```
8
Lattice="-6.249 -2.025 -1.716 0.558 -5.293 4.214 -3.887 -2.158 3.272" Properties=species:S:1:pos:R:3 pbc="T T T"
Sc -2.846 -3.659 1.249
Sc -3.088 -5.555 4.368
Cr -4.917 -2.502 0.242
Cr -1.295 -4.066 3.268
Cr -5.059 -4.270 3.317
Cr -7.886 -8.114 4.714
Ti 0.000 0.000 0.000
Ti -6.491 -3.921 1.403
```


VASP calculation (PBE) on a relaxed structure of NaCr3P.

Values from the calculation:
Formation energy: 1.99 eV/atom
VASP energy: -25.65 eV for the cell shown
Calculated density: 3.0 g cm⁻³
Symmetry: No. 221
Spin magnetization: 2.763 μB per atom

extended XYZ file:
```
5
Lattice="4.866 0.000 0.000 0.000 4.866 0.000 0.000 0.000 4.866" Properties=species:S:1:pos:R:3 pbc="T T T"
Cr 0.000 2.433 0.000
Cr 0.000 0.000 2.433
Cr 2.433 0.000 0.000
Na 0.000 0.000 0.000
P 2.433 2.433 2.433
```


VASP calculation (PBE) on a relaxed structure of ErSn3.

Values from the calculation:
Formation energy: -0.35 eV/atom
VASP energy: -35.96 eV for the cell shown
Calculated density: 8.1 g cm⁻³
Symmetry: No. 38
Spin magnetization: 0.000 μB per atom

extended XYZ file:
```
8
Lattice="11.304 -0.007 0.000 -10.440 4.335 0.000 0.000 0.000 4.394" Properties=species:S:1:pos:R:3 pbc="T T T"
Er 0.815 2.087 2.197
Er 6.715 0.909 0.000
Sn 9.150 0.423 2.197
Sn -4.609 3.170 2.197
Sn -7.556 3.759 2.197
Sn -9.913 4.230 0.000
Sn 3.473 1.556 0.000
Sn -1.706 2.590 0.000
```


VASP calculation (PBE) on a relaxed structure of CsRbTl2.

Values from the calculation:
Formation energy: -0.06 eV/atom
VASP energy: -13.61 eV for the cell shown
Calculated density: 4.8 g cm⁻³
Symmetry: No. 26
Spin magnetization: 0.000 μB per atom

extended XYZ file:
```
8
Lattice="5.389 0.000 0.000 0.000 7.370 0.000 0.000 0.000 10.828" Properties=species:S:1:pos:R:3 pbc="T T T"
Cs 2.695 2.467 3.556
Cs 2.695 4.903 8.970
Rb 0.000 1.198 7.316
Rb 0.000 6.172 1.902
Tl 0.000 4.960 5.645
Tl 0.000 2.410 0.231
Tl 2.695 6.210 5.140
Tl 2.695 1.160 10.554
```


VASP calculation (PBE) on a relaxed structure of Nd5AgTe4.

Values from the calculation:
Raw formation energy: -11.76 eV per formula unit
VASP energy: -51.02 eV for the cell shown
Calculated density: 7.0 g cm⁻³
Symmetry: No. 71
Spin magnetization: 0.000 μB per atom

extended XYZ file:
```
10
Lattice="4.320 0.000 -0.834 -0.328 6.123 -1.700 0.068 0.019 11.966" Properties=species:S:1:pos:R:3 pbc="T T T"
Nd 2.555 0.589 1.628
Nd 3.398 1.847 6.000
Nd 0.662 4.294 3.433
Nd -0.164 3.061 -0.850
Nd 1.506 5.553 7.804
Ag 0.000 0.000 0.000
Te 1.650 2.463 8.554
Te 3.244 4.924 5.202
Te 0.816 1.218 4.231
Te 2.410 3.679 0.879
```


VASP calculation (PBE) on a relaxed structure of TaTiCd2Te.

Values from the calculation:
Raw formation energy: 7.61 eV per formula unit
VASP energy: -17.11 eV for the cell shown
Calculated density: 7.0 g cm⁻³
Symmetry: No. 123
Spin magnetization: 0.001 μB per atom

extended XYZ file:
```
5
Lattice="-3.956 3.438 0.431 -1.134 -0.700 -4.831 -3.254 -3.911 1.330" Properties=species:S:1:pos:R:3 pbc="T T T"
Cd -1.627 -1.955 0.665
Cd -1.978 1.719 0.215
Te 0.000 0.000 0.000
Ti -0.567 -0.350 -2.416
Ta -4.172 -0.586 -1.535
```


VASP calculation (PBE) on a relaxed structure of CdCoRh.

Values from the calculation:
Formation energy: 0.38 eV/atom
VASP energy: -14.23 eV for the cell shown
Calculated density: 8.9 g cm⁻³
Symmetry: No. 216
Spin magnetization: 0.752 μB per atom

extended XYZ file:
```
3
Lattice="4.167 0.000 0.000 2.084 3.609 0.000 2.084 1.203 3.403" Properties=species:S:1:pos:R:3 pbc="T T T"
Cd 4.167 2.406 1.701
Co 2.084 1.203 0.851
Rh 0.000 0.000 0.000
```


VASP calculation (PBE) on a relaxed structure of Cs2LiMoS4.

Values from the calculation:
Raw formation energy: -8.13 eV per formula unit
VASP energy: -78.19 eV for the cell shown
Calculated density: 3.1 g cm⁻³
Symmetry: No. 70
Spin magnetization: 0.127 μB per atom

extended XYZ file:
```
16
Lattice="5.901 0.000 0.000 2.950 7.102 0.000 2.950 0.000 12.556" Properties=species:S:1:pos:R:3 pbc="T T T"
Cs 2.950 0.000 8.135
Cs 5.901 0.000 4.421
Cs 7.376 3.551 10.699
Cs 7.376 3.551 1.857
Li 7.376 3.551 6.278
Li 0.000 0.000 0.000
Mo 4.426 3.551 6.278
Mo 2.950 0.000 0.000
S 4.561 5.802 1.259
S 4.561 1.299 11.297
S 10.191 5.802 11.297
S 4.290 1.299 1.259
S 5.765 4.850 5.019
S 5.765 2.251 7.537
S 8.987 4.850 7.537
S 3.086 2.251 5.019
```


VASP calculation (PBE) on a relaxed structure of CrAsAu2.

Values from the calculation:
Formation energy: 0.22 eV/atom
VASP energy: -19.97 eV for the cell shown
Calculated density: 12.9 g cm⁻³
Symmetry: No. 160
Spin magnetization: 0.000 μB per atom

extended XYZ file:
```
4
Lattice="-3.248 -4.215 -7.411 -3.824 -6.281 -5.400 -5.719 -4.074 -5.825" Properties=species:S:1:pos:R:3 pbc="T T T"
As -9.779 -11.139 -14.248
Au -12.782 -14.559 -18.623
Au -3.084 -3.513 -4.494
Cr -6.334 -7.214 -9.228
```